Record 1
VASP calculation (SCAN) on a PBEsol-optimized structure of ZrTa2Ru.

final energy = -199.88 eV per formula unit
energy of formation from the pure elements = -115 kJ/mol of formula units
spin magnetization = 0.00 μB/cell

a b c (Å): 3.2018 3.2018 6.7520
angles (deg): 90.00 90.00 90.00
Space group P4mm (No. 99)
Asymmetric unit:
Zr1 0.0000 0.0000 0.0000 (multiplicity 1)
Ta1 0.0000 0.0000 0.4752 (multiplicity 1)
Ta2 0.5000 0.5000 0.7281 (multiplicity 1)
Ru1 0.5000 0.5000 0.2499 (multiplicity 1)

Record 2
VASP calculation (SCAN) on a PBEsol-optimized structure of TaOs5.

final energy = -426.51 eV per formula unit
energy of formation from the pure elements = -51 kJ/mol of formula units
ΔE to the lowest computed polymorph = 15 meV per atom
spin magnetization = 0.00 μB/cell

a b c (Å): 3.8624 11.7740 3.8545
angles (deg): 90.00 90.00 90.00
Space group Cmmm (No. 65)
Asymmetric unit:
Ta1 0.0000 0.0000 0.0000 (multiplicity 2)
Os1 0.0000 0.1723 0.5000 (multiplicity 4)
Os2 0.0000 0.3267 0.0000 (multiplicity 4)
Os3 0.0000 0.5000 0.5000 (multiplicity 2)

Record 3
VASP calculation (SCAN) on a PBEsol-optimized structure of LiZnCr4.

final energy = -86.31 eV per formula unit
energy of formation from the pure elements = 303 kJ/mol of formula units
spin magnetization = 0.00 μB/cell

a b c (Å): 6.6675 6.6675 6.6675
angles (deg): 90.00 90.00 90.00
Space group F-43m (No. 216)
Asymmetric unit:
Li1 0.0000 0.0000 0.0000 (multiplicity 4)
Zn1 0.2500 0.2500 0.7500 (multiplicity 4)
Cr1 0.1261 0.1261 0.3739 (multiplicity 16)

Record 4
VASP calculation (SCAN) on a PBEsol-optimized structure of NbCu3Cl.

final energy = -80.88 eV per formula unit
spin magnetization = 2.30 μB/cell
raw formation energy = 1.166 eV per atom

a b c (Å): 4.3011 4.3011 4.3011
angles (deg): 90.00 90.00 90.00
Space group Pm-3m (No. 221)
Asymmetric unit:
Nb1 0.0000 0.0000 0.0000 (multiplicity 1)
Cu1 0.0000 0.5000 0.5000 (multiplicity 3)
Cl1 0.5000 0.5000 0.5000 (multiplicity 1)

Record 5
VASP calculation (SCAN) on a PBEsol-optimized structure of SrSeBr.

final energy = -66.20 eV per formula unit
spin magnetization = 1.01 μB/cell
raw formation energy = -1.463 eV per atom

a b c (Å): 4.7126 4.7126 5.3271
angles (deg): 90.00 90.00 120.00
Space group P3m1 (No. 156)
Asymmetric unit:
Sr1 0.0000 0.0000 0.0000 (multiplicity 1)
Se1 0.6667 0.3333 0.2515 (multiplicity 1)
Br1 0.3333 0.6667 0.7228 (multiplicity 1)

Record 6
VASP calculation (SCAN) on a PBEsol-optimized structure of AlCo3Pb.

final energy = -127.59 eV per formula unit
energy of formation from the pure elements = 758 kJ/mol of formula units
spin magnetization = 4.78 μB/cell

a b c (Å): 4.6515 4.6515 4.6515
angles (deg): 90.00 90.00 90.00
Space group Pm-3m (No. 221)
Asymmetric unit:
Al1 0.0000 0.0000 0.0000 (multiplicity 1)
Co1 0.0000 0.5000 0.5000 (multiplicity 3)
Pb1 0.5000 0.5000 0.5000 (multiplicity 1)

Record 7
VASP calculation (SCAN) on a PBEsol-optimized structure of SrLi2Hg.

final energy = -96.36 eV per formula unit
energy of formation from the pure elements = -110 kJ/mol of formula units
spin magnetization = 0.09 μB/cell

a b c (Å): 4.5578 5.0900 8.7747
angles (deg): 90.00 90.00 90.00
Space group Imm2 (No. 44)
Asymmetric unit:
Sr1 0.0000 0.0000 0.0000 (multiplicity 2)
Li1 0.0000 0.0000 0.4790 (multiplicity 2)
Li2 0.0000 0.5000 0.2294 (multiplicity 2)
Hg1 0.0000 0.5000 0.7666 (multiplicity 2)

Record 8
VASP calculation (SCAN) on a PBEsol-optimized structure of Tl2As.

final energy = -164.68 eV per formula unit
energy of formation from the pure elements = 22 kJ/mol of formula units
ΔE to the lowest computed polymorph = 32 meV per atom
spin magnetization = 0.00 μB/cell

a b c (Å): 7.4265 7.4265 5.6964
angles (deg): 90.00 90.00 90.00
Space group I4/mcm (No. 140)
Asymmetric unit:
Tl1 0.1543 0.3457 0.0000 (multiplicity 8)
As1 0.0000 0.0000 0.2500 (multiplicity 4)

What did the third record say?
VASP calculation (SCAN) on a PBEsol-optimized structure of LiZnCr4.

final energy = -86.31 eV per formula unit
energy of formation from the pure elements = 303 kJ/mol of formula units
spin magnetization = 0.00 μB/cell

a b c (Å): 6.6675 6.6675 6.6675
angles (deg): 90.00 90.00 90.00
Space group F-43m (No. 216)
Asymmetric unit:
Li1 0.0000 0.0000 0.0000 (multiplicity 4)
Zn1 0.2500 0.2500 0.7500 (multiplicity 4)
Cr1 0.1261 0.1261 0.3739 (multiplicity 16)

Look up the final energy of the second one.
-426.51 eV per formula unit

Number 1 is which compound?
ZrTa2Ru

Look up the final energy of the eighth one.
-164.68 eV per formula unit